[1]
Computed, not measured: a geometry-optimized BaIn structure at the PBEsol level of DFT.

```
BaIn
1.0
2.195 -6.805 0.000
2.195 6.805 0.000
0.000 0.000 5.105
Ba In
2 2
Direct
0.149 0.851 0.750
0.851 0.149 0.250
0.435 0.565 0.750
0.565 0.435 0.250
```

## Properties
As for the symmetry: No. 63. Its energy of formation is -39.6 kJ per mole of atoms.


[2]
Computed, not measured: a geometry-optimized LaWIO2 structure at the PBEsol level of DFT.

```
LaWIO2
1.0
4.092 0.000 0.000
0.000 4.092 0.000
0.000 0.000 5.628
La W I O
1 1 1 2
Direct
0.000 0.000 0.000
0.500 0.500 0.500
0.500 0.500 0.000
0.000 0.500 0.500
0.500 0.000 0.500
```

## Properties
The calculation puts the energy relative to the elements, uncorrected at -0.9495 eV per atom. As for the symmetry: No. 123.


[3]
Computed, not measured: a geometry-optimized AlMoPt2 structure at the PBEsol level of DFT.

```
AlMoPt2
1.0
2.753 0.000 0.000
0.000 2.753 0.000
0.000 0.000 7.657
Al Mo Pt
1 1 2
Direct
0.000 0.000 0.000
0.000 0.000 0.500
0.500 0.500 0.238
0.500 0.500 0.762
```

## Properties
As for the symmetry: No. 123. Its energy of formation is -58.5 kJ per mole of atoms.


[4]
Computed, not measured: a geometry-optimized CaMgB3 structure at the PBEsol level of DFT.

```
CaMgB3
1.0
4.545 0.000 0.000
0.000 4.545 0.000
0.000 0.000 4.545
Ca Mg B
1 1 3
Direct
0.000 0.000 0.000
0.500 0.500 0.500
0.000 0.000 0.500
0.000 0.500 0.000
0.500 0.000 0.000
```

## Properties
For the excess energy over the best structure of this formula in the dataset, the calculation gives 0.8236 eV per atom. As for the symmetry: No. 221. Its energy of formation is 229.0 kJ per mole of atoms.


[5]
Computed, not measured: a geometry-optimized Cs2TlPt structure at the PBEsol level of DFT.

```
Cs2TlPt
1.0
-6.188 6.188 2.619
6.188 -6.188 2.619
6.188 6.188 -2.619
Cs Tl Pt
4 2 2
Direct
0.375 0.035 0.160
0.785 0.625 0.660
0.875 0.215 0.840
0.965 0.125 0.340
0.250 0.750 0.500
0.500 0.500 0.000
0.000 0.000 0.000
0.750 0.250 0.500
```

## Properties
As for the symmetry: No. 122. Its energy of formation is -0.9 kJ per mole of atoms.


[6]
Computed, not measured: a geometry-optimized BaP2Os2 structure at the PBEsol level of DFT.

```
BaP2Os2
1.0
-2.021 2.021 6.007
2.021 -2.021 6.007
2.021 2.021 -6.007
Ba P Os
1 2 2
Direct
0.000 0.000 0.000
0.346 0.346 0.000
0.654 0.654 0.000
0.250 0.750 0.500
0.750 0.250 0.500
```

## Properties
As for the symmetry: No. 139. Its energy of formation is -66.2 kJ per mole of atoms.


[7]
Computed, not measured: a geometry-optimized LiHg2Ru structure at the PBEsol level of DFT.

```
LiHg2Ru
1.0
3.109 0.000 0.000
0.000 3.109 0.000
0.000 0.000 6.748
Li Hg Ru
1 2 1
Direct
0.000 0.000 0.000
0.500 0.500 0.240
0.500 0.500 0.760
0.000 0.000 0.500
```

## Properties
For the excess energy over the best structure of this formula in the dataset, the calculation gives 0.1255 eV per atom. As for the symmetry: No. 123. Its energy of formation is 12.8 kJ per mole of atoms.


[8]
Computed, not measured: a geometry-optimized LiYCd structure at the PBEsol level of DFT.

```
LiYCd
1.0
3.363 0.000 0.000
-1.681 2.912 0.000
0.000 0.000 7.375
Li Y Cd
1 1 1
Direct
0.000 0.000 0.000
0.333 0.667 0.629
0.667 0.333 0.285
```

## Properties
For the excess energy over the best structure of this formula in the dataset, the calculation gives 0.1857 eV per atom. As for the symmetry: No. 156. Its energy of formation is -0.4 kJ per mole of atoms.


Q: What is the formula in the first record?
A: BaIn